An optimized crystal structure of LiTbTmRu. Source: the Alexandria database, functional PBE-GGA.

Cell lengths 6.909, 6.909, 6.909 Å; angles 90.00, 90.00, 90.00 degrees
Element x y z (fractional)
1 Li 0.000 0.000 0.000
2 Li 0.000 0.500 0.500
3 Li 0.500 0.000 0.500
4 Li 0.500 0.500 0.000
5 Tb 0.250 0.250 0.750
6 Tb 0.250 0.750 0.250
7 Tb 0.750 0.250 0.250
8 Tb 0.750 0.750 0.750
9 Tm 0.250 0.250 0.250
10 Tm 0.250 0.750 0.750
11 Tm 0.750 0.250 0.750
12 Tm 0.750 0.750 0.250
13 Ru 0.000 0.000 0.500
14 Ru 0.000 0.500 0.000
15 Ru 0.500 0.000 0.000
16 Ru 0.500 0.500 0.500

Output
Symmetry: No. 216
D(E_F), states/eV/cell: 10.9
E_form, eV/atom: -0.30
Spin magnetization, μB/atom: 0.000

***

An optimized crystal structure of PmTlP2. Source: the Alexandria database, functional PBE-GGA.

Cell lengths 4.178, 4.178, 19.452 Å; angles 90.00, 90.00, 120.00 degrees
Element x y z (fractional)
1 Pm 0.000 0.000 0.000
2 Pm 0.333 0.667 0.667
3 Pm 0.667 0.333 0.333
4 Tl 0.000 0.000 0.500
5 Tl 0.333 0.667 0.167
6 Tl 0.667 0.333 0.833
7 P 0.000 0.000 0.250
8 P 0.000 0.000 0.750
9 P 0.333 0.667 0.416
10 P 0.333 0.667 0.917
11 P 0.667 0.333 0.083
12 P 0.667 0.333 0.584

Output
Symmetry: No. 166
D(E_F), states/eV/cell: 5.3
E_form, eV/atom: -0.39
Spin magnetization, μB/atom: 0.000
Energy above the lowest structure with this stoichiometry, eV/atom: 0.203